1.
{
  "formula": "ZnCd2Ga",
  "functional": "GGA-PBE",
  "state": "relaxed",
  "lattice_angstrom": [[-3.9494, 3.9494, 2.8559], [3.9494, -3.9494, 2.8559], [3.9494, 3.9494, -2.8559]],
  "species": ["Zn", "Zn", "Cd", "Cd", "Cd", "Cd", "Ga", "Ga"],
  "fractional_positions": [[0.0000, 0.0000, 0.0000], [0.7500, 0.2500, 0.5000], [0.1147, 0.6250, 0.9897], [0.3750, 0.3647, 0.4897], [0.6353, 0.1250, 0.0103], [0.8750, 0.8853, 0.5103], [0.2500, 0.7500, 0.5000], [0.5000, 0.5000, 0.0000]],
  "magnetic_moment_mub_per_cell": 0.00,
  "spacegroup": "I-42d",
  "final_energy_ev_per_atom": -1.3732,
  "crystal_system": "tetragonal",
  "e_form_ev_per_atom": 0.160
}


2.
{
  "formula": "La3Tb2Sm6Mg",
  "functional": "GGA-PBE",
  "state": "relaxed",
  "lattice_angstrom": [[3.1351, -5.4376, 0.0000], [3.1351, 5.4376, 0.0000], [-2.1058, 0.0000, 11.7691]],
  "species": ["La", "La", "La", "Tb", "Tb", "Sm", "Sm", "Sm", "Sm", "Sm", "Sm", "Mg"],
  "fractional_positions": [[0.0000, 0.0000, 0.0000], [0.3325, 0.6675, 0.0000], [0.6675, 0.3325, 0.0000], [0.1665, 0.8335, 0.5000], [0.8335, 0.1665, 0.5000], [0.0888, 0.4199, 0.2569], [0.2495, 0.2495, 0.7443], [0.4199, 0.0888, 0.2569], [0.5801, 0.9112, 0.7431], [0.7505, 0.7505, 0.2557], [0.9112, 0.5801, 0.7431], [0.5000, 0.5000, 0.5000]],
  "magnetic_moment_mub_per_cell": 0.00,
  "spacegroup": "C2/m",
  "final_energy_ev_per_atom": -4.4651,
  "crystal_system": "monoclinic",
  "e_form_ev_per_atom": 0.031
}


3.
{
  "formula": "TlTe2As",
  "functional": "GGA-PBE",
  "state": "relaxed",
  "lattice_angstrom": [[2.1587, 1.2463, 7.5552], [-2.1587, 1.2463, 7.5552], [0.0000, -2.4927, 7.5552]],
  "species": ["Tl", "Te", "Te", "As"],
  "fractional_positions": [[0.0000, 0.0000, 0.0000], [0.5112, 0.5112, 0.5112], [0.7500, 0.7500, 0.7500], [0.2389, 0.2389, 0.2389]],
  "formation_energy_uncorrected_ev_per_atom": -0.006,
  "magnetic_moment_mub_per_cell": 0.00,
  "spacegroup": "R3m",
  "final_energy_ev_per_atom": -3.3307,
  "crystal_system": "trigonal"
}


4.
{
  "formula": "CaYI2O",
  "functional": "GGA-PBE",
  "state": "relaxed",
  "lattice_angstrom": [[6.0467, 0.0000, 0.0000], [0.0000, 6.0467, 0.0000], [0.0000, 0.0000, 4.1308]],
  "species": ["Ca", "Y", "I", "I", "O"],
  "fractional_positions": [[0.0000, 0.0000, 0.0000], [0.5000, 0.5000, 0.5000], [0.0000, 0.5000, 0.0000], [0.5000, 0.0000, 0.0000], [0.0000, 0.0000, 0.5000]],
  "formation_energy_uncorrected_ev_per_atom": -1.045,
  "polymorph_energy_ev_per_atom": 0.507,
  "magnetic_moment_mub_per_cell": 0.10,
  "spacegroup": "P4/mmm",
  "final_energy_ev_per_atom": -4.3501,
  "crystal_system": "tetragonal"
}


5.
{
  "formula": "Os3PdAu",
  "functional": "GGA-PBE",
  "state": "relaxed",
  "lattice_angstrom": [[4.7294, 0.0000, 0.0000], [0.0000, 4.7294, 0.0000], [0.0000, 0.0000, 4.7294]],
  "species": ["Os", "Os", "Os", "Pd", "Au"],
  "fractional_positions": [[0.0000, 0.0000, 0.5000], [0.0000, 0.5000, 0.0000], [0.5000, 0.0000, 0.0000], [0.0000, 0.0000, 0.0000], [0.5000, 0.5000, 0.5000]],
  "polymorph_energy_ev_per_atom": 0.000,
  "magnetic_moment_mub_per_cell": 5.71,
  "spacegroup": "Pm-3m",
  "final_energy_ev_per_atom": -5.6856,
  "crystal_system": "cubic",
  "e_form_ev_per_atom": 2.746
}


6.
{
  "formula": "Sr2Pd6Au9",
  "functional": "GGA-PBE",
  "state": "relaxed",
  "lattice_angstrom": [[5.5986, 0.0000, 0.0000], [-2.7993, 4.8486, 0.0000], [0.0000, 0.0000, 13.5850]],
  "species": ["Sr", "Sr", "Pd", "Pd", "Pd", "Pd", "Pd", "Pd", "Au", "Au", "Au", "Au", "Au", "Au", "Au", "Au", "Au"],
  "fractional_positions": [[0.0000, 0.0000, 0.1782], [0.0000, 0.0000, 0.8218], [0.3333, 0.6667, 0.1671], [0.3333, 0.6667, 0.5000], [0.3333, 0.6667, 0.8329], [0.6667, 0.3333, 0.1671], [0.6667, 0.3333, 0.5000], [0.6667, 0.3333, 0.8329], [0.0000, 0.5000, 0.0000], [0.0000, 0.5000, 0.3349], [0.0000, 0.5000, 0.6651], [0.5000, 0.0000, 0.0000], [0.5000, 0.0000, 0.3349], [0.5000, 0.0000, 0.6651], [0.5000, 0.5000, 0.0000], [0.5000, 0.5000, 0.3349], [0.5000, 0.5000, 0.6651]],
  "magnetic_moment_mub_per_cell": 0.00,
  "spacegroup": "P6/mmm",
  "final_energy_ev_per_atom": -4.0443,
  "crystal_system": "hexagonal",
  "e_form_ev_per_atom": -0.279
}


7.
{
  "formula": "PrIn3Hg3",
  "functional": "GGA-PBE",
  "state": "relaxed",
  "lattice_angstrom": [[5.0411, -5.4262, 0.0000], [5.0411, 5.4262, 0.0000], [-0.3902, 0.0000, 6.9280]],
  "species": ["Pr", "Pr", "In", "In", "In", "In", "In", "In", "Hg", "Hg", "Hg", "Hg", "Hg", "Hg"],
  "fractional_positions": [[0.2141, 0.2141, 0.4887], [0.7859, 0.7859, 0.5113], [0.1455, 0.8545, 0.0000], [0.2420, 0.7580, 0.5000], [0.2737, 0.2737, 0.9900], [0.7263, 0.7263, 0.0100], [0.7580, 0.2420, 0.5000], [0.8545, 0.1455, 0.0000], [0.0098, 0.5019, 0.7665], [0.4980, 0.4980, 0.2722], [0.4981, 0.9902, 0.2335], [0.5019, 0.0098, 0.7665], [0.5020, 0.5020, 0.7278], [0.9902, 0.4981, 0.2335]],
  "polymorph_energy_ev_per_atom": 0.000,
  "magnetic_moment_mub_per_cell": 0.00,
  "spacegroup": "C2/m",
  "final_energy_ev_per_atom": -2.1652,
  "crystal_system": "monoclinic",
  "e_form_ev_per_atom": -0.179
}


8.
{
  "formula": "ScZn2Br",
  "functional": "GGA-PBE",
  "state": "relaxed",
  "lattice_angstrom": [[1.7642, 1.0186, 8.5660], [-1.7642, 1.0186, 8.5660], [0.0000, -2.0372, 8.5660]],
  "species": ["Sc", "Zn", "Zn", "Br"],
  "fractional_positions": [[0.0000, 0.0000, 0.0000], [0.2549, 0.2549, 0.2549], [0.5277, 0.5277, 0.5277], [0.7368, 0.7368, 0.7368]],
  "formation_energy_uncorrected_ev_per_atom": -0.393,
  "polymorph_energy_ev_per_atom": 0.002,
  "magnetic_moment_mub_per_cell": 0.33,
  "spacegroup": "R3m",
  "final_energy_ev_per_atom": -3.0311,
  "crystal_system": "trigonal"
}


9.
{
  "formula": "PtSBr2",
  "functional": "GGA-PBE",
  "state": "relaxed",
  "lattice_angstrom": [[0.0000, 3.4055, 3.4055], [3.4055, 0.0000, 3.4055], [3.4055, 3.4055, 0.0000]],
  "species": ["Pt", "S", "Br", "Br"],
  "fractional_positions": [[0.0000, 0.0000, 0.0000], [0.5000, 0.5000, 0.5000], [0.2500, 0.2500, 0.2500], [0.7500, 0.7500, 0.7500]],
  "formation_energy_uncorrected_ev_per_atom": 1.021,
  "magnetic_moment_mub_per_cell": 0.00,
  "spacegroup": "Fm-3m",
  "final_energy_ev_per_atom": -2.3576,
  "crystal_system": "cubic"
}


10.
{
  "formula": "TbY2Pu",
  "functional": "GGA-PBE",
  "state": "relaxed",
  "lattice_angstrom": [[1.7292, 0.9984, 12.2679], [-1.7292, 0.9984, 12.2679], [0.0000, -1.9968, 12.2679]],
  "species": ["Tb", "Y", "Y", "Pu"],
  "fractional_positions": [[0.0000, 0.0000, 0.0000], [0.4115, 0.4115, 0.4115], [0.5885, 0.5885, 0.5885], [0.5000, 0.5000, 0.5000]],
  "polymorph_energy_ev_per_atom": 0.169,
  "magnetic_moment_mub_per_cell": 6.44,
  "spacegroup": "R-3m",
  "final_energy_ev_per_atom": -7.7034,
  "crystal_system": "trigonal",
  "e_form_ev_per_atom": 0.269
}


11.
{
  "formula": "Pa2TlN",
  "functional": "GGA-PBE",
  "state": "relaxed",
  "lattice_angstrom": [[1.6608, 0.9589, 8.7137], [-1.6608, 0.9589, 8.7137], [0.0000, -1.9178, 8.7137]],
  "species": ["Pa", "Pa", "Tl", "N"],
  "fractional_positions": [[0.2243, 0.2243, 0.2243], [0.7757, 0.7757, 0.7757], [0.0000, 0.0000, 0.0000], [0.5000, 0.5000, 0.5000]],
  "formation_energy_uncorrected_ev_per_atom": -0.707,
  "polymorph_energy_ev_per_atom": 0.000,
  "magnetic_moment_mub_per_cell": 0.00,
  "spacegroup": "R-3m",
  "final_energy_ev_per_atom": -8.1283,
  "crystal_system": "trigonal"
}


12.
{
  "formula": "CsInCu2I6",
  "functional": "GGA-PBE",
  "state": "relaxed",
  "lattice_angstrom": [[8.2374, -7.5497, 0.0000], [8.2374, 7.5497, 0.0000], [-3.3438, 0.0000, 7.3136]],
  "species": ["Cs", "Cs", "In", "In", "Cu", "Cu", "Cu", "Cu", "I", "I", "I", "I", "I", "I", "I", "I", "I", "I", "I", "I"],
  "fractional_positions": [[0.1146, 0.8854, 0.7500], [0.8854, 0.1146, 0.2500], [0.2626, 0.7374, 0.2500], [0.7374, 0.2626, 0.7500], [0.2382, 0.3327, 0.7391], [0.3327, 0.2382, 0.2391], [0.6673, 0.7618, 0.7609], [0.7618, 0.6673, 0.2609], [0.0070, 0.7243, 0.2306], [0.1818, 0.3502, 0.4149], [0.2757, 0.9930, 0.2694], [0.2903, 0.5785, 0.9210], [0.3502, 0.1818, 0.9149], [0.4215, 0.7097, 0.5790], [0.5785, 0.2903, 0.4210], [0.6498, 0.8182, 0.0851], [0.7097, 0.4215, 0.0790], [0.7243, 0.0070, 0.7306], [0.8182, 0.6498, 0.5851], [0.9930, 0.2757, 0.7694]],
  "formation_energy_uncorrected_ev_per_atom": -0.539,
  "magnetic_moment_mub_per_cell": 0.00,
  "spacegroup": "C2/c",
  "final_energy_ev_per_atom": -2.6472,
  "crystal_system": "monoclinic"
}